# 1
Below is a geometry-optimized PmEuCdRu structure, with properties calculated at the PBE-GGA level. Values from VASP.

```
&SYSTEM
  ibrav = 0, nat = 4, ntyp = 4
/
ATOMIC_SPECIES
Eu 151.96 Eu.upf
Ru 101.07 Ru.upf
Cd 112.41 Cd.upf
Pm 145.00 Pm.upf
ATOMIC_POSITIONS crystal
Eu 0.7500 0.7500 0.7500
Ru 0.0000 0.0000 0.0000
Cd 0.5000 0.5000 0.5000
Pm 0.2500 0.2500 0.2500
CELL_PARAMETERS angstrom
5.1691 0.0000 0.0000
2.5846 4.4766 0.0000
2.5846 1.4922 4.2206
```

## Properties
Crystal system: cubic
V: 24.42 A^3/atom
ΔH_f (0 K): -0.082 eV per atom
DOS(E_F): 1.3310 states/eV/atom
SG: F-43m (216)
Density: 8679 kg/m3
Total energy: -6.39 eV/atom

---

# 2
Below is a geometry-optimized PmEuScCd structure, with properties calculated at the PBE-GGA level. Values from VASP.

```
&SYSTEM
  ibrav = 0, nat = 4, ntyp = 4
/
ATOMIC_SPECIES
Eu 151.96 Eu.upf
Sc 44.96 Sc.upf
Cd 112.41 Cd.upf
Pm 145.00 Pm.upf
ATOMIC_POSITIONS crystal
Eu 0.5000 0.5000 0.5000
Sc 0.0000 0.0000 0.0000
Cd 0.7500 0.7500 0.7500
Pm 0.2500 0.2500 0.2500
CELL_PARAMETERS angstrom
5.4398 0.0000 0.0000
2.7199 4.7110 0.0000
2.7199 1.5703 4.4416
```

## Properties
Crystal system: cubic
V: 28.46 A^3/atom
ΔH_f (0 K): 0.058 eV per atom
DOS(E_F): 1.5952 states/eV/atom
SG: F-43m (216)
Density: 6628 kg/m3
Total energy: -5.51 eV/atom

---

# 3
Below is a geometry-optimized PmSmEuCd structure, with properties calculated at the PBE-GGA level. Values from VASP.

```
&SYSTEM
  ibrav = 0, nat = 4, ntyp = 4
/
ATOMIC_SPECIES
Eu 151.96 Eu.upf
Cd 112.41 Cd.upf
Sm 150.36 Sm.upf
Pm 145.00 Pm.upf
ATOMIC_POSITIONS crystal
Eu 0.5000 0.5000 0.5000
Cd 0.7500 0.7500 0.7500
Sm 0.0000 0.0000 0.0000
Pm 0.2500 0.2500 0.2500
CELL_PARAMETERS angstrom
5.6368 0.0000 0.0000
2.8184 4.8816 0.0000
2.8184 1.6272 4.6024
```

## Properties
Crystal system: cubic
V: 31.66 A^3/atom
ΔH_f (0 K): 0.022 eV per atom
DOS(E_F): 1.4545 states/eV/atom
SG: F-43m (216)
Density: 7339 kg/m3
Total energy: -5.14 eV/atom

---

# 4
Below is a geometry-optimized PmEuCdSn structure, with properties calculated at the PBE-GGA level. Values from VASP.

```
&SYSTEM
  ibrav = 0, nat = 4, ntyp = 4
/
ATOMIC_SPECIES
Eu 151.96 Eu.upf
Cd 112.41 Cd.upf
Sn 118.71 Sn.upf
Pm 145.00 Pm.upf
ATOMIC_POSITIONS crystal
Eu 0.5000 0.5000 0.5000
Cd 0.7500 0.7500 0.7500
Sn 0.2500 0.2500 0.2500
Pm 0.0000 0.0000 0.0000
CELL_PARAMETERS angstrom
-3.2158 2.4074 3.7221
-4.9115 -2.1263 1.1607
-0.8655 -2.4110 4.8404
```

## Properties
Crystal system: cubic
V: 29.03 A^3/atom
ΔH_f (0 K): -0.527 eV per atom
DOS(E_F): 0.6224 states/eV/atom
SG: F-43m (216)
Density: 7551 kg/m3
Total energy: -5.51 eV/atom

---

# 5
Below is a geometry-optimized SrPmEuCd structure, with properties calculated at the PBE-GGA level. Values from VASP.

```
&SYSTEM
  ibrav = 0, nat = 4, ntyp = 4
/
ATOMIC_SPECIES
Eu 151.96 Eu.upf
Sr 87.62 Sr.upf
Cd 112.41 Cd.upf
Pm 145.00 Pm.upf
ATOMIC_POSITIONS crystal
Eu 0.2500 0.2500 0.2500
Sr 0.0000 0.0000 0.0000
Cd 0.7500 0.7500 0.7500
Pm 0.5000 0.5000 0.5000
CELL_PARAMETERS angstrom
-5.0058 2.3207 1.8187
-3.2323 -2.7884 3.9406
-0.4390 2.0914 5.4023
```

## Properties
Crystal system: cubic
V: 34.66 A^3/atom
ΔH_f (0 K): 0.014 eV per atom
DOS(E_F): 0.8043 states/eV/atom
SG: F-43m (216)
Density: 5952 kg/m3
Total energy: -4.39 eV/atom

---

# 6
Below is a geometry-optimized PmEuZnCd structure, with properties calculated at the PBE-GGA level. Values from VASP.

```
&SYSTEM
  ibrav = 0, nat = 4, ntyp = 4
/
ATOMIC_SPECIES
Eu 151.96 Eu.upf
Zn 65.41 Zn.upf
Cd 112.41 Cd.upf
Pm 145.00 Pm.upf
ATOMIC_POSITIONS crystal
Eu 0.5000 0.5000 0.5000
Zn 0.2500 0.2500 0.2500
Cd 0.7500 0.7500 0.7500
Pm 0.0000 0.0000 0.0000
CELL_PARAMETERS angstrom
-0.8140 -2.5097 -4.6699
-4.2991 -3.1424 -0.6421
-4.0005 1.5530 -3.2176
```

## Properties
Crystal system: cubic
V: 27.28 A^3/atom
ΔH_f (0 K): -0.288 eV per atom
DOS(E_F): 1.4997 states/eV/atom
SG: F-43m (216)
Density: 7226 kg/m3
Total energy: -4.59 eV/atom

---

# 7
Below is a geometry-optimized PrEu2Cd structure, with properties calculated at the PBE-GGA level. Values from VASP.

```
&SYSTEM
  ibrav = 0, nat = 4, ntyp = 3
/
ATOMIC_SPECIES
Eu 151.96 Eu.upf
Pr 140.91 Pr.upf
Cd 112.41 Cd.upf
ATOMIC_POSITIONS crystal
Eu 0.0000 0.0000 0.7863
Eu 0.0000 0.0000 0.2137
Pr 0.5000 0.5000 0.5000
Cd 0.5000 0.5000 0.0000
CELL_PARAMETERS angstrom
-2.8784 2.0880 -1.4149
-2.4717 -2.7627 0.9513
-1.2434 4.0324 8.4802
```

## Properties
Crystal system: tetragonal
V: 34.68 A^3/atom
ΔH_f (0 K): -0.119 eV per atom
DOS(E_F): 2.6075 states/eV/atom
SG: P4/mmm (123)
Density: 6670 kg/m3
Total energy: -6.68 eV/atom
ΔE to the lowest computed polymorph: 0.0 meV/atom

---

# 8
Below is a geometry-optimized PrEu2Cd structure, with properties calculated at the PBE-GGA level. Values from VASP.

```
&SYSTEM
  ibrav = 0, nat = 4, ntyp = 3
/
ATOMIC_SPECIES
Eu 151.96 Eu.upf
Pr 140.91 Pr.upf
Cd 112.41 Cd.upf
ATOMIC_POSITIONS crystal
Eu 0.0000 0.0000 0.5000
Eu 0.0000 0.5000 0.0000
Pr 0.5000 0.5000 0.5000
Cd 0.5000 0.0000 0.0000
CELL_PARAMETERS angstrom
-3.9373 3.1353 -1.0537
-1.4375 -3.0822 -3.7998
-2.9483 -2.6148 3.2364
```

## Properties
Crystal system: tetragonal
V: 33.43 A^3/atom
ΔH_f (0 K): -0.067 eV per atom
DOS(E_F): 1.2915 states/eV/atom
SG: P4/mmm (123)
Density: 6920 kg/m3
Total energy: -6.63 eV/atom
ΔE to the lowest computed polymorph: 52.1 meV/atom

---

# 9
Below is a geometry-optimized PrEuCd structure, with properties calculated at the PBE-GGA level. Values from VASP.

```
&SYSTEM
  ibrav = 0, nat = 3, ntyp = 3
/
ATOMIC_SPECIES
Eu 151.96 Eu.upf
Pr 140.91 Pr.upf
Cd 112.41 Cd.upf
ATOMIC_POSITIONS crystal
Eu 0.0193 0.0193 0.0387
Pr 0.3105 0.3105 0.6211
Cd 0.6701 0.6701 0.3403
CELL_PARAMETERS angstrom
3.8754 0.0000 0.0000
0.0000 3.8754 0.0000
-1.9377 -1.9377 6.6478
```

## Properties
Crystal system: tetragonal
V: 33.28 A^3/atom
ΔH_f (0 K): -0.187 eV per atom
DOS(E_F): 1.0010 states/eV/atom
SG: I4mm (107)
Density: 6741 kg/m3
Total energy: -5.51 eV/atom
ΔE to the lowest computed polymorph: 0.0 meV/atom

---

# 10
Below is a geometry-optimized PrEuCd4 structure, with properties calculated at the PBE-GGA level. Values from VASP.

```
&SYSTEM
  ibrav = 0, nat = 6, ntyp = 3
/
ATOMIC_SPECIES
Eu 151.96 Eu.upf
Pr 140.91 Pr.upf
Cd 112.41 Cd.upf
ATOMIC_POSITIONS crystal
Eu 0.0000 0.0000 0.0000
Pr 0.2500 0.2500 0.2500
Cd 0.6245 0.6245 0.1265
Cd 0.6245 0.1265 0.6245
Cd 0.6245 0.6245 0.6245
Cd 0.1265 0.6245 0.6245
CELL_PARAMETERS angstrom
-2.6111 4.0885 -3.6367
-4.7429 3.2209 1.9724
0.6241 5.9195 1.1529
```

## Properties
Crystal system: cubic
V: 26.27 A^3/atom
ΔH_f (0 K): -0.305 eV per atom
DOS(E_F): 1.1425 states/eV/atom
SG: F-43m (216)
Density: 7824 kg/m3
Total energy: -3.42 eV/atom

---

# 11
Below is a geometry-optimized PrEu2Cd structure, with properties calculated at the PBE-GGA level. Values from VASP.

```
&SYSTEM
  ibrav = 0, nat = 4, ntyp = 3
/
ATOMIC_SPECIES
Eu 151.96 Eu.upf
Pr 140.91 Pr.upf
Cd 112.41 Cd.upf
ATOMIC_POSITIONS crystal
Eu 0.2500 0.2500 0.2500
Eu 0.7500 0.7500 0.7500
Pr 0.0000 0.0000 0.0000
Cd 0.5000 0.5000 0.5000
CELL_PARAMETERS angstrom
5.7053 0.0000 0.0000
2.8526 4.9409 0.0000
2.8526 1.6470 4.6583
```

## Properties
Crystal system: cubic
V: 32.83 A^3/atom
ΔH_f (0 K): 0.002 eV per atom
DOS(E_F): 1.2378 states/eV/atom
SG: Fm-3m (225)
Density: 7047 kg/m3
Total energy: -6.56 eV/atom
ΔE to the lowest computed polymorph: 121.2 meV/atom

---

# 12
Below is a geometry-optimized PrEuCd structure, with properties calculated at the PBE-GGA level. Values from VASP.

```
&SYSTEM
  ibrav = 0, nat = 3, ntyp = 3
/
ATOMIC_SPECIES
Eu 151.96 Eu.upf
Pr 140.91 Pr.upf
Cd 112.41 Cd.upf
ATOMIC_POSITIONS crystal
Eu 0.9617 0.0000 0.0000
Pr 0.3737 0.3333 0.6667
Cd 0.6645 0.6667 0.3333
CELL_PARAMETERS angstrom
-2.8573 1.5109 1.7081
0.9056 -3.2087 4.3532
2.4037 4.9174 -0.3288
```

## Properties
Crystal system: trigonal
V: 31.73 A^3/atom
ΔH_f (0 K): -0.086 eV per atom
DOS(E_F): 0.9225 states/eV/atom
SG: P3m1 (156)
Density: 7070 kg/m3
Total energy: -5.41 eV/atom
ΔE to the lowest computed polymorph: 100.6 meV/atom

---

# 13
Below is a geometry-optimized PrEuCdPt structure, with properties calculated at the PBE-GGA level. Values from VASP.

```
&SYSTEM
  ibrav = 0, nat = 4, ntyp = 4
/
ATOMIC_SPECIES
Eu 151.96 Eu.upf
Pr 140.91 Pr.upf
Pt 195.08 Pt.upf
Cd 112.41 Cd.upf
ATOMIC_POSITIONS crystal
Eu 0.2500 0.2500 0.2500
Pr 0.7500 0.7500 0.7500
Pt 0.0000 0.0000 0.0000
Cd 0.5000 0.5000 0.5000
CELL_PARAMETERS angstrom
-0.6421 3.5145 3.8906
-3.7564 3.6948 -0.3719
-4.2653 -0.2481 3.1058
```

## Properties
Crystal system: cubic
V: 26.05 A^3/atom
ΔH_f (0 K): -0.605 eV per atom
DOS(E_F): 2.4502 states/eV/atom
SG: F-43m (216)
Density: 9567 kg/m3
Total energy: -6.11 eV/atom

---

# 14
Below is a geometry-optimized PrEuCdRu structure, with properties calculated at the PBE-GGA level. Values from VASP.

```
&SYSTEM
  ibrav = 0, nat = 4, ntyp = 4
/
ATOMIC_SPECIES
Eu 151.96 Eu.upf
Pr 140.91 Pr.upf
Ru 101.07 Ru.upf
Cd 112.41 Cd.upf
ATOMIC_POSITIONS crystal
Eu 0.5000 0.5000 0.5000
Pr 0.0000 0.0000 0.0000
Ru 0.7500 0.7500 0.7500
Cd 0.2500 0.2500 0.2500
CELL_PARAMETERS angstrom
5.2088 0.0000 0.0000
2.6044 4.5109 0.0000
2.6044 1.5036 4.2530
```

## Properties
Crystal system: cubic
V: 24.98 A^3/atom
ΔH_f (0 K): -0.061 eV per atom
DOS(E_F): 1.6740 states/eV/atom
SG: F-43m (216)
Density: 8414 kg/m3
Total energy: -6.37 eV/atom

---

# 15
Below is a geometry-optimized PrEuCdSb structure, with properties calculated at the PBE-GGA level. Values from VASP.

```
&SYSTEM
  ibrav = 0, nat = 4, ntyp = 4
/
ATOMIC_SPECIES
Eu 151.96 Eu.upf
Pr 140.91 Pr.upf
Cd 112.41 Cd.upf
Sb 121.76 Sb.upf
ATOMIC_POSITIONS crystal
Eu 0.2500 0.2500 0.2500
Pr 0.7500 0.7500 0.7500
Cd 0.0000 0.0000 0.0000
Sb 0.5000 0.5000 0.5000
CELL_PARAMETERS angstrom
-5.2570 -1.4892 -0.7164
-1.2170 -4.4492 -3.0150
-1.9351 -4.5420 2.4478
```

## Properties
Crystal system: cubic
V: 29.58 A^3/atom
DOS(E_F): 1.1002 states/eV/atom
Energy relative to the elements, uncorrected: -0.601 eV per atom
SG: F-43m (216)
Density: 7396 kg/m3
Total energy: -5.62 eV/atom

---

# 16
Below is a geometry-optimized PrEuCdSi structure, with properties calculated at the PBE-GGA level. Values from VASP.

```
&SYSTEM
  ibrav = 0, nat = 4, ntyp = 4
/
ATOMIC_SPECIES
Eu 151.96 Eu.upf
Pr 140.91 Pr.upf
Si 28.09 Si.upf
Cd 112.41 Cd.upf
ATOMIC_POSITIONS crystal
Eu 0.0000 0.0000 0.0000
Pr 0.5000 0.5000 0.5000
Si 0.7500 0.7500 0.7500
Cd 0.2500 0.2500 0.2500
CELL_PARAMETERS angstrom
-2.0508 -1.3082 -4.7396
-1.7662 -4.9514 -0.8631
-5.2257 -0.9183 -0.4794
```

## Properties
Crystal system: cubic
V: 26.73 A^3/atom
DOS(E_F): 0.6514 states/eV/atom
Energy relative to the elements, uncorrected: -0.359 eV per atom
SG: F-43m (216)
Density: 6731 kg/m3
Total energy: -5.71 eV/atom